A plane-wave DFT calculation with GGA-PBE was carried out for crystalline Pm4BiRu at its relaxed geometry.

Values from the calculation:
formation enthalpy at 0 K = -303 meV per atom

Structure (POSCAR):
```
Pm4BiRu
1.0
2.792 -10.250 0.000
2.792 10.250 0.000
0.000 0.000 6.561
Pm Bi Ru
8 2 2
direct
0.045 0.955 0.750
0.195 0.805 0.001
0.195 0.805 0.499
0.402 0.598 0.750
0.598 0.402 0.250
0.805 0.195 0.501
0.805 0.195 0.999
0.955 0.045 0.250
0.346 0.654 0.250
0.654 0.346 0.750
0.085 0.915 0.250
0.915 0.085 0.750
```